This record from the Alexandria database describes a geometry-optimized Tb7Nd12Y structure. The functional is PBE.

Calculated values
ΔH_f (0 K) (meV/atom): 233
Final energy (eV for the cell shown): -91.42
Excess energy over the best structure of this formula in the dataset (meV/atom): 7
Space-group type: R-3

abc: 6.265 11.562 11.562
angles: 116.81 100.41 100.41
Positions (direct):
Tb 0.126 0.754 0.001
Tb 0.874 0.001 0.246
Tb 0.628 0.754 0.754
Tb 0.500 0.000 0.000
Tb 0.372 0.246 0.246
Tb 0.126 0.999 0.754
Tb 0.874 0.246 0.999
Nd 0.088 0.588 0.176
Nd 0.088 0.176 0.588
Nd 0.586 0.647 0.000
Nd 0.415 0.000 0.354
Nd 0.499 0.412 0.588
Nd 0.061 0.646 0.647
Nd 0.939 0.354 0.353
Nd 0.501 0.588 0.412
Nd 0.585 0.000 0.646
Nd 0.414 0.353 0.000
Nd 0.912 0.824 0.412
Nd 0.912 0.412 0.824
Y 0.000 0.000 0.000